VAuN2O | GGA+U | relaxed

```
5
Lattice="3.952 0.000 0.000 0.000 3.952 0.000 0.000 0.000 3.699" Properties=species:S:1:pos:R:3 pbc="T T T"
V 0.000 0.000 0.000
Au 1.976 1.976 1.850
N 0.000 1.976 0.000
N 1.976 0.000 0.000
O 0.000 0.000 1.850
```

Calculated values
Spin magnetization in μB per atom: 0.187
Uncorrected energy in eV/atom: -5.84
N(E_F) in states/eV per atom: 0.6078